1.
Material: TaZn6O6
Method: DFT, PBE-GGA
State: relaxed

Geometry as CIF:
```
data_TaZn6O6
_chemical_formula_sum 'Ta1 Zn6 O6'
_cell_length_a 5.743
_cell_length_b 5.743
_cell_length_c 5.743
_cell_angle_alpha 90.00
_cell_angle_beta 90.00
_cell_angle_gamma 90.00
_space_group_name_H-M_alt 'P m -3'
_space_group_IT_number 200
_space_group_name_Hall '-P 2 2 3'
loop_
_atom_site_label
_atom_site_fract_x
_atom_site_fract_y
_atom_site_fract_z
_atom_site_occupancy
Ta1 0.000 0.000 0.000 1
Zn1 0.000 0.249 0.500 1
O1 0.000 0.500 0.252 1
```

Calculated values
Its volume is 189 Å³ per cell. The uncorrected formation energy is -0.7277 eV per atom. For the spin magnetization, the calculation gives 4.007 Bohr magnetons per cell.



2.
Material: K4La3GeS8
Method: DFT, PBE-GGA
State: relaxed

Geometry as CIF:
```
data_K4La3GeS8
_chemical_formula_sum 'K12 La9 Ge3 S24'
_cell_length_a 8.3906
_cell_length_b 8.3906
_cell_length_c 22.1256
_cell_angle_alpha 90.00
_cell_angle_beta 90.00
_cell_angle_gamma 120.00
_space_group_name_H-M_alt 'R -3 m'
_space_group_IT_number 166
_space_group_name_Hall '-R 3 2"'
loop_
_atom_site_label
_atom_site_fract_x
_atom_site_fract_y
_atom_site_fract_z
_atom_site_occupancy
K1 0.0000 0.0000 0.0000 1
K2 0.0000 0.5000 0.0000 1
La1 0.0000 0.5000 0.5000 1
Ge1 0.0000 0.0000 0.5000 1
S1 0.0000 0.0000 0.2371 1
S2 0.0208 0.5104 0.2334 1
```

Calculated values
Its volume is 1349 Å³ per cell. The uncorrected formation energy is -1.5406 eV per atom. For the spin magnetization, the calculation gives 0.000 Bohr magnetons per cell.



3.
Material: Pm2BeSi4Pd3
Method: DFT, PBE-GGA
State: relaxed

Geometry as CIF:
```
data_Pm2BeSi4Pd3
_chemical_formula_sum 'Pm2 Be1 Si4 Pd3'
_cell_length_a 4.160
_cell_length_b 4.160
_cell_length_c 10.037
_cell_angle_alpha 90.00
_cell_angle_beta 90.00
_cell_angle_gamma 90.00
_space_group_name_H-M_alt 'P -4 m 2'
_space_group_IT_number 115
_space_group_name_Hall 'P -4 -2'
loop_
_atom_site_label
_atom_site_fract_x
_atom_site_fract_y
_atom_site_fract_z
_atom_site_occupancy
Pm1 0.000 0.500 0.247 1
Be1 0.500 0.500 0.000 1
Si1 0.000 0.000 0.500 1
Si2 0.000 0.500 0.871 1
Si3 0.500 0.500 0.500 1
Pd1 0.000 0.000 0.000 1
Pd2 0.000 0.500 0.626 1
```

Calculated values
Its volume is 174 Å³ per cell. The uncorrected formation energy is -0.7754 eV per atom. For the spin magnetization, the calculation gives 0.000 Bohr magnetons per cell.